8
Lattice="3.861 0.000 0.000 0.000 3.910 0.000 -1.931 -1.955 7.545" Properties=species:S:1:pos:R:3 comment="V3Pd3Rh2 | Alexandria via LeMat-Bulk | PBE | relaxed" volume_a3_per_cell=113.91 crystal_system=orthorhombic sg=Immm delta_e_f_ev_per_atom=-0.242 m_tot_mub_per_atom=0.0245 pbc="T T T"
V 0.000 0.000 2.016
V 0.000 1.955 0.000
V 1.931 1.955 5.529
Pd 1.931 1.955 1.819
Pd 0.000 0.000 5.725
Pd 1.931 0.000 0.000
Rh 1.931 0.000 3.734
Rh 0.000 1.955 3.810



18
Lattice="-4.582 -2.216 1.735 0.970 -5.651 -4.654 2.754 -0.338 6.843" Properties=species:S:1:pos:R:3 comment="V3PdRh5 | Alexandria via LeMat-Bulk | PBE | relaxed" volume_a3_per_cell=253.94 crystal_system=hexagonal sg=P6_3/mcm delta_e_f_ev_per_atom=-0.309 m_tot_mub_per_atom=0.0797 pbc="T T T"
V -2.179 -3.685 2.041
V -0.642 -7.536 1.179
V -2.794 -5.404 -1.781
V 1.321 -4.520 1.883
V -0.215 -0.668 2.745
V -0.818 -2.463 -1.138
Pd 0.000 0.000 0.000
Pd -2.291 -1.108 0.867
Rh 1.565 -3.880 -0.822
Rh -0.131 -3.217 3.878
Rh 2.160 -2.109 3.011
Rh -0.726 -4.988 0.046
Rh -0.956 -5.651 2.759
Rh -1.547 -7.425 -1.068
Rh -3.113 -3.549 -0.253
Rh 0.098 -2.554 1.165
Rh 0.689 -0.779 4.992
Rh -0.499 -4.318 -2.666



12
Lattice="-0.471 3.789 0.732 -3.858 -0.474 -0.077 2.208 -3.914 11.382" Properties=species:S:1:pos:R:3 comment="V2Pd3Rh | Alexandria via LeMat-Bulk | PBE | relaxed" relative_energy_mev_per_atom=40 volume_a3_per_cell=180.21 crystal_system=orthorhombic sg=Fmmm delta_e_f_ev_per_atom=-0.168 m_tot_mub_per_atom=0.0000 pbc="T T T"
V -0.213 0.766 6.221
V -3.010 0.593 0.126
V -1.907 -1.365 5.816
V -1.319 2.721 0.529
Pd -1.085 0.494 1.944
Pd 1.110 -2.735 9.768
Pd -1.035 -1.093 10.093
Pd -3.230 2.136 2.268
Pd 0.015 -0.788 4.088
Pd -2.135 0.189 7.948
Rh -2.148 0.847 4.530
Rh 0.028 -1.447 7.507



20
Lattice="-3.400 3.951 1.202 -3.887 -4.744 4.601 5.442 3.408 4.189" Properties=species:S:1:pos:R:3 comment="V3PdRh6 | Alexandria via LeMat-Bulk | PBE | relaxed" relative_energy_mev_per_atom=220 volume_a3_per_cell=299.24 crystal_system=orthorhombic sg=Cmc2_1 delta_e_f_ev_per_atom=-0.104 m_tot_mub_per_atom=0.0000 pbc="T T T"
V -1.204 -0.278 7.772
V -0.875 3.470 8.283
V 1.045 1.261 4.641
V -2.855 1.315 5.339
V -1.871 4.325 2.655
V -2.200 0.577 2.144
Pd 3.260 2.291 4.405
Pd -4.180 -0.749 5.260
Rh 0.362 -0.671 5.921
Rh -0.787 1.786 6.497
Rh 1.903 1.977 6.909
Rh -3.564 0.661 7.677
Rh -4.340 -3.426 4.882
Rh 0.879 3.688 5.039
Rh -1.815 -2.127 4.632
Rh 2.512 6.022 5.105
Rh 1.127 2.643 2.525
Rh -4.339 1.327 3.292
Rh -0.126 -0.253 3.165
Rh -1.274 2.204 3.742



10
Lattice="6.368 0.000 1.278 0.000 5.149 0.000 0.426 0.000 4.466" Properties=species:S:1:pos:R:3 comment="V3PdRh | Alexandria via LeMat-Bulk | PBE | relaxed" relative_energy_mev_per_atom=0 volume_a3_per_cell=143.62 crystal_system=monoclinic sg=P2_1/m delta_e_f_ev_per_atom=-0.031 m_tot_mub_per_atom=0.0001 pbc="T T T"
V 2.581 2.577 1.880
V 4.214 2.571 3.864
V 4.214 0.003 3.864
V 2.581 5.146 1.880
V 1.640 3.862 4.477
V 5.154 1.287 1.267
Pd 4.876 3.862 1.629
Pd 1.919 1.287 4.114
Rh 0.332 3.862 2.512
Rh 6.463 1.287 3.232



7
Lattice="4.553 0.000 0.000 0.000 4.553 0.000 2.277 2.277 6.181" Properties=species:S:1:pos:R:3 comment="V4PdRh2 | Alexandria via LeMat-Bulk | PBE | relaxed" volume_a3_per_cell=128.15 crystal_system=tetragonal sg=I4/mmm delta_e_f_ev_per_atom=0.845 m_tot_mub_per_atom=0.5051 pbc="T T T"
Rh 2.277 2.277 1.368
Rh 4.553 4.553 4.814
Pd 0.000 0.000 0.000
V 2.277 2.277 3.683
V 4.553 4.553 2.498
V 0.000 2.277 0.000
V 2.277 0.000 0.000



16
Lattice="3.863 0.000 0.000 0.000 5.510 0.000 0.000 0.000 11.012" Properties=species:S:1:pos:R:3 comment="V2Pd5Rh | Alexandria via LeMat-Bulk | PBE | relaxed" volume_a3_per_cell=234.37 crystal_system=orthorhombic sg=Pbam delta_e_f_ev_per_atom=-0.236 m_tot_mub_per_atom=0.2050 pbc="T T T"
V 1.931 1.292 6.827
V 1.931 4.218 4.185
V 1.931 1.463 1.321
V 1.931 4.047 9.691
Pd 0.000 0.000 0.000
Pd 0.000 2.755 5.506
Pd 0.000 2.718 8.263
Pd 0.000 2.791 2.749
Pd 0.000 0.036 2.757
Pd 0.000 5.473 8.255
Pd 1.931 1.359 9.632
Pd 1.931 4.151 1.380
Pd 1.931 1.396 4.126
Pd 1.931 4.113 6.885
Rh 0.000 0.000 5.506
Rh 0.000 2.755 0.000



8
Lattice="3.842 0.000 0.000 0.000 3.842 0.000 0.000 0.000 7.664" Properties=species:S:1:pos:R:3 comment="VPdRh6 | Alexandria via LeMat-Bulk | PBE | relaxed" volume_a3_per_cell=113.15 crystal_system=tetragonal sg=P4/mmm delta_e_f_ev_per_atom=-0.172 m_tot_mub_per_atom=0.0000 pbc="T T T"
V 0.000 0.000 3.832
Pd 0.000 0.000 0.000
Rh 1.921 1.921 0.000
Rh 1.921 1.921 3.832
Rh 1.921 0.000 1.988
Rh 1.921 0.000 5.676
Rh 0.000 1.921 1.988
Rh 0.000 1.921 5.676



9
Lattice="-2.173 -2.994 -0.884 4.927 -2.862 -2.418 0.744 0.059 6.154" Properties=species:S:1:pos:R:3 comment="V2Pd6Rh | Alexandria via LeMat-Bulk | PBE | relaxed" volume_a3_per_cell=131.97 crystal_system=monoclinic sg=C2/m delta_e_f_ev_per_atom=-0.223 m_tot_mub_per_atom=0.0000 pbc="T T T"
V -0.495 -3.294 4.190
V 3.993 -2.503 -1.338
Pd 3.863 -3.542 2.501
Pd -0.366 -2.254 0.350
Pd 2.888 -4.516 0.014
Pd 2.352 -1.899 0.650
Pd 0.610 -1.281 2.838
Pd 1.146 -3.898 2.202
Rh 1.377 -2.928 -1.651



11
Lattice="3.810 0.000 -1.159 -0.997 5.768 -3.276 0.091 0.170 7.139" Properties=species:S:1:pos:R:3 comment="V2PdRh8 | Alexandria via LeMat-Bulk | PBE | relaxed" volume_a3_per_cell=159.79 crystal_system=orthorhombic sg=Immm delta_e_f_ev_per_atom=-0.109 m_tot_mub_per_atom=0.0000 pbc="T T T"
V 0.106 4.116 0.348
V 2.798 1.821 2.355
Pd 1.905 0.000 -0.580
Rh 1.656 5.038 -1.397
Rh 0.828 3.332 2.719
Rh 0.473 0.963 1.553
Rh -0.306 1.768 -1.004
Rh 2.432 4.974 1.151
Rh 2.076 2.606 -0.015
Rh 1.248 0.900 4.101
Rh 3.210 4.170 3.708



9
Lattice="-3.442 -1.069 -1.368 2.895 1.744 -3.217 2.072 -7.782 0.867" Properties=species:S:1:pos:R:3 comment="V2PdRh6 | Alexandria via LeMat-Bulk | PBE | relaxed" volume_a3_per_cell=126.53 crystal_system=monoclinic sg=C2/m delta_e_f_ev_per_atom=-0.246 m_tot_mub_per_atom=0.0000 pbc="T T T"
V 0.189 -5.734 -1.428
V 1.336 -1.373 -2.290
Pd 1.036 -3.891 0.434
Rh 2.739 -6.561 -1.767
Rh -1.214 -0.546 -1.951
Rh 0.346 -1.298 0.143
Rh -0.531 -3.130 -1.651
Rh 1.179 -5.809 -3.860
Rh 2.056 -3.977 -2.067



10
Lattice="-1.459 -2.572 6.659 -6.048 -3.165 -2.548 1.433 -2.282 -0.567" Properties=species:S:1:pos:R:3 comment="V2PdRh2 | Alexandria via LeMat-Bulk | PBE | relaxed" relative_energy_mev_per_atom=73 volume_a3_per_cell=146.18 crystal_system=tetragonal sg=P4/mbm delta_e_f_ev_per_atom=-0.196 m_tot_mub_per_atom=0.0000 pbc="T T T"
Rh -3.421 -3.575 -0.948
Rh -5.380 -5.504 1.864
Rh -2.653 -4.445 4.491
Rh -0.694 -2.515 1.680
Pd 0.000 0.000 0.000
Pd -3.754 -2.869 2.055
V -5.677 -3.610 0.179
V -5.156 -4.242 4.035
V -1.830 -2.127 3.932
V -2.351 -1.496 0.076